(1)
Ca12Ge3H5: relaxed, GGA-PBE.

```
Ca12Ge3H5
1.0
-7.916 7.916 7.916
7.916 -7.916 7.916
7.916 7.916 -7.916
Ca Ge H
48 12 20
direct
0.025 0.215 0.123
0.025 0.310 0.902
0.092 0.715 0.690
0.092 0.877 0.402
0.098 0.623 0.408
0.098 0.975 0.690
0.123 0.025 0.215
0.123 0.598 0.908
0.190 0.215 0.592
0.190 0.475 0.598
0.215 0.123 0.025
0.215 0.592 0.190
0.285 0.310 0.908
0.285 0.475 0.377
0.310 0.902 0.025
0.310 0.908 0.285
0.377 0.285 0.475
0.377 0.592 0.902
0.402 0.092 0.877
0.402 0.810 0.525
0.408 0.098 0.623
0.408 0.810 0.785
0.475 0.377 0.285
0.475 0.598 0.190
0.525 0.402 0.810
0.525 0.623 0.715
0.592 0.190 0.215
0.592 0.902 0.377
0.598 0.190 0.475
0.598 0.908 0.123
0.623 0.408 0.098
0.623 0.715 0.525
0.690 0.092 0.715
0.690 0.098 0.975
0.715 0.525 0.623
0.715 0.690 0.092
0.785 0.408 0.810
0.785 0.877 0.975
0.810 0.525 0.402
0.810 0.785 0.408
0.877 0.402 0.092
0.877 0.975 0.785
0.902 0.025 0.310
0.902 0.377 0.592
0.908 0.123 0.598
0.908 0.285 0.310
0.975 0.690 0.098
0.975 0.785 0.877
0.125 0.250 0.375
0.125 0.375 0.750
0.250 0.375 0.125
0.250 0.875 0.625
0.375 0.125 0.250
0.375 0.750 0.125
0.625 0.250 0.875
0.625 0.875 0.750
0.750 0.125 0.375
0.750 0.625 0.875
0.875 0.625 0.250
0.875 0.750 0.625
0.000 0.000 0.000
0.000 0.000 0.500
0.000 0.500 0.000
0.000 0.500 0.500
0.125 0.750 0.875
0.125 0.875 0.250
0.250 0.125 0.875
0.250 0.625 0.375
0.375 0.250 0.625
0.375 0.625 0.750
0.500 0.000 0.000
0.500 0.000 0.500
0.500 0.500 0.000
0.500 0.500 0.500
0.625 0.375 0.250
0.625 0.750 0.375
0.750 0.375 0.625
0.750 0.875 0.125
0.875 0.125 0.750
0.875 0.250 0.125
```

Summary:
Size of the total moment in μB per formula unit: 0.000
Density in g/cm³: 2.4
Uncorrected energy in eV/atom: -3.133

***

(2)
BeGaCo2N: relaxed, GGA-PBE.

```
BeGaCo2N
1.0
4.341 0.000 0.000
0.000 4.341 0.000
0.000 0.000 4.057
Be Ga Co N
1 1 2 1
direct
0.000 0.000 0.000
0.000 0.000 0.500
0.000 0.500 0.500
0.500 0.000 0.500
0.500 0.500 0.000
```

Summary:
Size of the total moment in μB per formula unit: 3.399
Density in g/cm³: 4.6
Uncorrected energy in eV/atom: -3.897
Formation energy from raw total energies in kJ/mol of formula units: 946
Energy above the lowest structure with this stoichiometry in kJ/mol of atoms: 62.32

***

(3)
Sc5N4: relaxed, GGA-PBE.

```
Sc5N4
1.0
-4.397 4.397 1.625
4.397 -4.397 1.625
4.397 4.397 -1.625
Sc N
5 4
direct
0.000 0.000 0.000
0.242 0.591 0.832
0.409 0.242 0.651
0.591 0.758 0.349
0.758 0.409 0.168
0.103 0.782 0.886
0.218 0.103 0.321
0.782 0.897 0.679
0.897 0.218 0.114
```

Summary:
Size of the total moment in μB per formula unit: 0.001
Density in g/cm³: 3.7
Uncorrected energy in eV/atom: -8.594
Formation energy from raw total energies in kJ/mol of formula units: -1195
Energy above the lowest structure with this stoichiometry in kJ/mol of atoms: 0.00

***

(4)
TaBi3O7: relaxed, GGA-PBE.

```
TaBi3O7
1.0
3.981 -5.496 0.000
3.981 5.496 0.000
0.000 0.000 7.669
Ta Bi O
2 6 14
direct
0.006 0.006 0.000
0.994 0.994 0.500
0.004 0.520 0.742
0.451 0.451 0.500
0.480 0.996 0.758
0.520 0.004 0.258
0.549 0.549 0.000
0.996 0.480 0.242
0.032 0.292 0.950
0.053 0.947 0.750
0.086 0.317 0.536
0.292 0.032 0.050
0.317 0.086 0.464
0.361 0.639 0.750
0.366 0.634 0.250
0.634 0.366 0.750
0.639 0.361 0.250
0.683 0.914 0.964
0.708 0.968 0.550
0.914 0.683 0.036
0.947 0.053 0.250
0.968 0.708 0.450
```

Summary:
Size of the total moment in μB per formula unit: 0.000
Density in g/cm³: 9.1
Uncorrected energy in eV/atom: -7.084
Formation energy from raw total energies in kJ/mol of formula units: -1902
Energy above the lowest structure with this stoichiometry in kJ/mol of atoms: 0.00